# GdEr2Th PBE relaxed
data_GdEr2Th
_space_group_name_H-M_alt 'P 4/m m m'
_space_group_IT_number 123
_space_group_name_Hall '-P 4 2'
_cell_length_a 5.038
_cell_length_b 5.038
_cell_length_c 4.946
_cell_angle_alpha 90.00
_cell_angle_beta 90.00
_cell_angle_gamma 90.00
loop_
_atom_site_label
_atom_site_fract_x
_atom_site_fract_y
_atom_site_fract_z
_atom_site_occupancy
Gd1 0.000 0.000 0.000 1
Er1 0.000 0.500 0.500 1
Th1 0.500 0.500 0.000 1
# **Theoretical density**: 9.6 g/cm3
# **E_form**: 0.032 eV per atom

---

# GdEr2Th PBE relaxed
data_GdEr2Th
_space_group_name_H-M_alt 'R -3 m'
_space_group_IT_number 166
_space_group_name_Hall '-R 3 2"'
_cell_length_a 3.5596
_cell_length_b 3.5596
_cell_length_c 34.3983
_cell_angle_alpha 90.00
_cell_angle_beta 90.00
_cell_angle_gamma 120.00
loop_
_atom_site_label
_atom_site_fract_x
_atom_site_fract_y
_atom_site_fract_z
_atom_site_occupancy
Gd1 0.0000 0.0000 0.0000 1
Er1 0.0000 0.0000 0.2482 1
Th1 0.0000 0.0000 0.5000 1
# **Theoretical density**: 9.6 g/cm3
# **E_form**: 0.020 eV per atom

---

Number 1: energy above the lowest structure with this stoichiometry 12 meV/atom, size of the total moment 7.496 Bohr magnetons per cell. Number 2: energy above the lowest structure with this stoichiometry 0 meV/atom, size of the total moment 22.552 Bohr magnetons per cell.